Record 1
Below is SiPb2Au6 after structural relaxation, with properties calculated at the PBE level.

Values from the calculation:
The size of the total moment comes out at 0.0 Bohr magnetons per cell. The volume comes out at 21.229 Å³ per atom. The total energy is -131.72 eV per cell.

The structure in CIF format:
```
data_SiPb2Au6
_cell_length_a 9.143
_cell_length_b 9.143
_cell_length_c 9.143
_cell_angle_alpha 90.00
_cell_angle_beta 90.00
_cell_angle_gamma 90.00
_space_group_name_H-M_alt 'F m -3 m'
_space_group_IT_number 225
_space_group_name_Hall '-F 4 2 3'
loop_
_atom_site_label
_atom_site_fract_x
_atom_site_fract_y
_atom_site_fract_z
Si1 0.000 0.000 0.000
Pb1 0.250 0.250 0.250
Au1 0.000 0.000 0.271
```

Record 2
Below is SiPbAu2 after structural relaxation, with properties calculated at the PBE level.

Values from the calculation:
The size of the total moment comes out at 0.0 Bohr magnetons per cell. The volume comes out at 21.341 Å³ per atom. For the energy above the most stable polymorph in this dataset, the calculation gives 4.396 kcal/mol of atoms. The total energy is -29.83 eV per cell.

The structure in CIF format:
```
data_SiPbAu2
_cell_length_a 3.627
_cell_length_b 5.373
_cell_length_c 8.761
_cell_angle_alpha 90.00
_cell_angle_beta 90.00
_cell_angle_gamma 90.00
_space_group_name_H-M_alt 'I m m 2'
_space_group_IT_number 44
_space_group_name_Hall 'I 2 -2'
loop_
_atom_site_label
_atom_site_fract_x
_atom_site_fract_y
_atom_site_fract_z
Si1 0.000 0.000 0.000
Pb1 0.000 0.500 0.222
Au1 0.000 0.000 0.446
Au2 0.000 0.500 0.693
```

Record 3
Below is SiPbAu2 after structural relaxation, with properties calculated at the PBE level.

Values from the calculation:
The size of the total moment comes out at 0.0 Bohr magnetons per cell. The volume comes out at 20.764 Å³ per atom. For the energy above the most stable polymorph in this dataset, the calculation gives 6.940 kcal/mol of atoms. The total energy is -28.95 eV per cell.

The structure in CIF format:
```
data_SiPbAu2
_cell_length_a 4.330
_cell_length_b 4.330
_cell_length_c 8.859
_cell_angle_alpha 90.00
_cell_angle_beta 90.00
_cell_angle_gamma 90.00
_space_group_name_H-M_alt 'I -4 m 2'
_space_group_IT_number 119
_space_group_name_Hall 'I -4 -2'
loop_
_atom_site_label
_atom_site_fract_x
_atom_site_fract_y
_atom_site_fract_z
Si1 0.000 0.000 0.000
Pb1 0.000 0.500 0.250
Au1 0.000 0.000 0.500
Au2 0.000 0.500 0.750
```

Record 4
Below is Si2Pb3Au9 after structural relaxation, with properties calculated at the PBE level.

Values from the calculation:
The size of the total moment comes out at 0.0 Bohr magnetons per cell. The volume comes out at 21.582 Å³ per atom. The total energy is -51.88 eV per cell.

The structure in CIF format:
```
data_Si2Pb3Au9
_cell_length_a 6.5355
_cell_length_b 6.5355
_cell_length_c 8.1685
_cell_angle_alpha 90.00
_cell_angle_beta 90.00
_cell_angle_gamma 120.00
_space_group_name_H-M_alt 'P -3 m 1'
_space_group_IT_number 164
_space_group_name_Hall '-P 3 2"'
loop_
_atom_site_label
_atom_site_fract_x
_atom_site_fract_y
_atom_site_fract_z
Si1 0.3333 0.6667 0.2969
Pb1 0.0000 0.0000 0.5000
Pb2 0.3333 0.6667 0.8327
Au1 0.0000 0.5000 0.5000
Au2 0.1479 0.2959 0.1471
```

Record 5
Below is SiPbAu2 after structural relaxation, with properties calculated at the PBE level.

Values from the calculation:
The size of the total moment comes out at 0.0 Bohr magnetons per cell. The volume comes out at 22.518 Å³ per atom. For the energy above the most stable polymorph in this dataset, the calculation gives 0.000 kcal/mol of atoms. The total energy is -62.71 eV per cell.

The structure in CIF format:
```
data_SiPbAu2
_cell_length_a 10.429
_cell_length_b 6.210
_cell_length_c 7.505
_cell_angle_alpha 90.00
_cell_angle_beta 132.16
_cell_angle_gamma 90.00
_space_group_name_H-M_alt 'C 1 c 1'
_space_group_IT_number 9
_space_group_name_Hall 'C -2yc'
loop_
_atom_site_label
_atom_site_fract_x
_atom_site_fract_y
_atom_site_fract_z
Si1 0.000 0.097 0.000
Pb1 0.128 0.351 0.788
Au1 0.316 0.077 0.310
Au2 0.391 0.320 0.703
```

Record 6
Below is SiPb5Au4 after structural relaxation, with properties calculated at the PBE level.

Values from the calculation:
The size of the total moment comes out at 0.0 Bohr magnetons per cell. The volume comes out at 25.849 Å³ per atom. The total energy is -74.42 eV per cell.

The structure in CIF format:
```
data_SiPb5Au4
_cell_length_a 17.436
_cell_length_b 4.164
_cell_length_c 7.567
_cell_angle_alpha 90.00
_cell_angle_beta 109.77
_cell_angle_gamma 90.00
_space_group_name_H-M_alt 'C 1 2/m 1'
_space_group_IT_number 12
_space_group_name_Hall '-C 2y'
loop_
_atom_site_label
_atom_site_fract_x
_atom_site_fract_y
_atom_site_fract_z
Si1 0.000 0.000 0.000
Pb1 0.000 0.000 0.500
Pb2 0.173 0.500 0.029
Pb3 0.181 0.500 0.579
Au1 0.001 0.500 0.795
Au2 0.134 0.000 0.274
```

Record 7
Below is Si2PbAu6 after structural relaxation, with properties calculated at the PBE level.

Values from the calculation:
The size of the total moment comes out at 0.0 Bohr magnetons per cell. The volume comes out at 20.063 Å³ per atom. The total energy is -135.61 eV per cell.

The structure in CIF format:
```
data_Si2PbAu6
_cell_length_a 13.740
_cell_length_b 9.580
_cell_length_c 5.632
_cell_angle_alpha 90.00
_cell_angle_beta 103.03
_cell_angle_gamma 90.00
_space_group_name_H-M_alt 'C 1 2/c 1'
_space_group_IT_number 15
_space_group_name_Hall '-C 2yc'
loop_
_atom_site_label
_atom_site_fract_x
_atom_site_fract_y
_atom_site_fract_z
Si1 0.228 0.054 0.328
Pb1 0.000 0.337 0.250
Au1 0.084 0.075 0.956
Au2 0.104 0.365 0.772
Au3 0.225 0.315 0.258
```

Record 8
Below is SiPb3Au6 after structural relaxation, with properties calculated at the PBE level.

Values from the calculation:
The size of the total moment comes out at 0.0 Bohr magnetons per cell. The volume comes out at 22.736 Å³ per atom. The total energy is -144.81 eV per cell.

The structure in CIF format:
```
data_SiPb3Au6
_cell_length_a 11.892
_cell_length_b 16.253
_cell_length_c 4.705
_cell_angle_alpha 90.00
_cell_angle_beta 90.00
_cell_angle_gamma 90.00
_space_group_name_H-M_alt 'C m c 21'
_space_group_IT_number 36
_space_group_name_Hall 'C 2c -2'
loop_
_atom_site_label
_atom_site_fract_x
_atom_site_fract_y
_atom_site_fract_z
Si1 0.000 0.206 0.000
Pb1 0.000 0.407 0.883
Pb2 0.173 0.093 0.385
Au1 0.000 0.058 0.888
Au2 0.000 0.255 0.523
Au3 0.165 0.439 0.388
Au4 0.185 0.272 0.151
```

Record 9
Below is SiPb3Au4 after structural relaxation, with properties calculated at the PBE level.

Values from the calculation:
The size of the total moment comes out at 0.0 Bohr magnetons per cell. The volume comes out at 25.212 Å³ per atom. The total energy is -58.82 eV per cell.

The structure in CIF format:
```
data_SiPb3Au4
_cell_length_a 6.755
_cell_length_b 8.042
_cell_length_c 7.426
_cell_angle_alpha 90.00
_cell_angle_beta 90.00
_cell_angle_gamma 90.00
_space_group_name_H-M_alt 'P m n 21'
_space_group_IT_number 31
_space_group_name_Hall 'P 2ac -2'
loop_
_atom_site_label
_atom_site_fract_x
_atom_site_fract_y
_atom_site_fract_z
Si1 0.000 0.127 0.000
Pb1 0.000 0.016 0.418
Pb2 0.248 0.483 0.456
Au1 0.000 0.265 0.710
Au2 0.000 0.825 0.020
Au3 0.213 0.793 0.682
```

Record 10
Below is SiPbAu2 after structural relaxation, with properties calculated at the PBE level.

Values from the calculation:
The size of the total moment comes out at 0.0 Bohr magnetons per cell. The volume comes out at 24.681 Å³ per atom. For the energy above the most stable polymorph in this dataset, the calculation gives 1.061 kcal/mol of atoms. The total energy is -61.98 eV per cell.

The structure in CIF format:
```
data_SiPbAu2
_cell_length_a 5.001
_cell_length_b 5.001
_cell_length_c 15.787
_cell_angle_alpha 90.00
_cell_angle_beta 90.00
_cell_angle_gamma 90.00
_space_group_name_H-M_alt 'I -4 2 d'
_space_group_IT_number 122
_space_group_name_Hall 'I -4 2bw'
loop_
_atom_site_label
_atom_site_fract_x
_atom_site_fract_y
_atom_site_fract_z
Si1 0.000 0.000 0.000
Pb1 0.000 0.000 0.500
Au1 0.150 0.250 0.125
```

Record 11
Below is Si2Pb3Au8 after structural relaxation, with properties calculated at the PBE level.

Values from the calculation:
The size of the total moment comes out at 0.0 Bohr magnetons per cell. The volume comes out at 21.189 Å³ per atom. The total energy is -47.83 eV per cell.

The structure in CIF format:
```
data_Si2Pb3Au8
_cell_length_a 8.166
_cell_length_b 3.660
_cell_length_c 9.219
_cell_angle_alpha 90.00
_cell_angle_beta 91.17
_cell_angle_gamma 90.00
_space_group_name_H-M_alt 'P 1 2/m 1'
_space_group_IT_number 10
_space_group_name_Hall '-P 2y'
loop_
_atom_site_label
_atom_site_fract_x
_atom_site_fract_y
_atom_site_fract_z
Si1 0.129 0.000 0.434
Pb1 0.000 0.000 0.000
Pb2 0.347 0.500 0.112
Au1 0.017 0.500 0.264
Au2 0.282 0.500 0.582
Au3 0.306 0.000 0.831
Au4 0.428 0.000 0.360
```

Record 12
Below is Si3Pb3Au8 after structural relaxation, with properties calculated at the PBE level.

Values from the calculation:
The size of the total moment comes out at 0.0 Bohr magnetons per cell. The volume comes out at 21.330 Å³ per atom. The total energy is -107.99 eV per cell.

The structure in CIF format:
```
data_Si3Pb3Au8
_cell_length_a 16.716
_cell_length_b 4.360
_cell_length_c 9.365
_cell_angle_alpha 90.00
_cell_angle_beta 118.95
_cell_angle_gamma 90.00
_space_group_name_H-M_alt 'C 1 2/m 1'
_space_group_IT_number 12
_space_group_name_Hall '-C 2y'
loop_
_atom_site_label
_atom_site_fract_x
_atom_site_fract_y
_atom_site_fract_z
Si1 0.000 0.000 0.000
Si2 0.175 0.500 0.492
Pb1 0.000 0.000 0.500
Pb2 0.208 0.500 0.117
Au1 0.033 0.500 0.181
Au2 0.101 0.000 0.875
Au3 0.134 0.500 0.707
Au4 0.152 0.000 0.348
```